1.
VASP calculation (meta-GGA SCAN) on a crystal of TiSi7H42C14Cl2O2 relaxed with PBEsol.

## Properties
E: -6.28 eV/atom
total moment: 0.0 μB per formula unit

a b c (Å): 9.371 17.944 9.967
angles (deg): 90.00 101.31 90.00
Space group P2_1 (No. 4)
Asymmetric unit:
Ti 0.144 0.000 0.419
Si 0.030 0.038 0.954
Si 0.169 0.265 0.433
Si 0.245 0.024 0.121
Si 0.321 0.161 0.423
Si 0.365 0.138 0.199
Si 0.406 0.934 0.061
Si 0.465 0.653 0.407
H 0.006 0.400 0.084
H 0.009 0.258 0.199
H 0.019 0.563 0.297
H 0.045 0.669 0.002
H 0.047 0.315 0.612
H 0.058 0.700 0.681
H 0.072 0.217 0.631
H 0.083 0.798 0.677
H 0.096 0.433 0.953
H 0.118 0.603 0.898
H 0.137 0.113 0.787
H 0.150 0.015 0.754
H 0.173 0.224 0.070
H 0.173 0.450 0.128
H 0.196 0.612 0.076
H 0.201 0.402 0.409
H 0.221 0.278 0.689
H 0.226 0.717 0.353
H 0.227 0.857 0.897
H 0.233 0.828 0.069
H 0.279 0.704 0.532
H 0.286 0.352 0.291
H 0.307 0.546 0.315
H 0.312 0.205 0.975
H 0.346 0.269 0.114
H 0.357 0.540 0.496
H 0.357 0.778 0.450
H 0.373 0.358 0.466
H 0.375 0.802 0.984
H 0.378 0.590 0.729
H 0.382 0.687 0.765
H 0.385 0.364 0.805
H 0.386 0.456 0.742
H 0.396 0.140 0.781
H 0.413 0.622 0.902
H 0.419 0.667 0.154
H 0.419 0.983 0.829
H 0.426 0.428 0.103
H 0.437 0.521 0.044
H 0.452 0.234 0.767
H 0.484 0.514 0.392
H 0.489 0.889 0.300
C 0.006 0.754 0.694
C 0.070 0.447 0.053
C 0.080 0.059 0.784
C 0.092 0.613 0.000
C 0.124 0.269 0.608
C 0.267 0.352 0.396
C 0.291 0.216 0.078
C 0.300 0.848 0.997
C 0.319 0.719 0.439
C 0.397 0.555 0.403
C 0.433 0.633 0.798
C 0.457 0.409 0.782
C 0.486 0.176 0.762
C 0.499 0.970 0.923
Cl 0.098 0.506 0.604
Cl 0.246 0.912 0.567
O 0.187 0.984 0.257
O 0.221 0.088 0.466

=====

2.
VASP calculation (meta-GGA SCAN) on a crystal of Li3MoP relaxed with PBEsol.

## Properties
energy relative to the elements: 0.452 eV per atom
total moment: 5.8 μB per formula unit

a b c (Å): 4.568 4.568 4.568
angles (deg): 90.00 90.00 90.00
Space group Pm-3m (No. 221)
Asymmetric unit:
Li 0.000 0.000 0.500
Mo 0.500 0.500 0.500
P 0.000 0.000 0.000

=====

3.
VASP calculation (meta-GGA SCAN) on a crystal of CaMn2Se relaxed with PBEsol.

## Properties
formation energy (no corrections): -0.3127 eV/atom
total moment: 8.4 μB per formula unit

a b c (Å): 3.929 3.929 5.078
angles (deg): 90.00 90.00 90.00
Space group P4/mmm (No. 123)
Asymmetric unit:
Ca 0.000 0.000 0.000
Mn 0.000 0.500 0.500
Se 0.500 0.500 0.000

=====

4.
VASP calculation (meta-GGA SCAN) on a crystal of CaTaTe2 relaxed with PBEsol.

## Properties
formation energy (no corrections): -0.3994 eV/atom
total moment: 0.3 μB per formula unit

a b c (Å): 3.496 3.496 7.485
angles (deg): 90.00 90.00 90.00
Space group P4/mmm (No. 123)
Asymmetric unit:
Ca 0.000 0.000 0.000
Ta 0.000 0.000 0.500
Te 0.500 0.500 0.282

=====

5.
VASP calculation (meta-GGA SCAN) on a crystal of TcOs relaxed with PBEsol.

## Properties
energy relative to the elements: -0.096 eV per atom
total moment: 0.0 μB per formula unit

a b c (Å): 2.729 4.321 4.722
angles (deg): 90.00 90.00 90.00
Space group Pmmn (No. 59, origin choice 2)
Asymmetric unit:
Tc 0.250 0.250 0.083
Os 0.250 0.750 0.417

=====

6.
VASP calculation (meta-GGA SCAN) on a crystal of MnP2O7 relaxed with PBEsol.

## Properties
formation energy (no corrections): -2.2811 eV/atom
total moment: 3.0 μB per formula unit

a b c (Å): 6.428 7.645 4.409
angles (deg): 90.00 103.23 90.00
Space group C2 (No. 5)
Asymmetric unit:
Mn 0.000 0.000 0.000
P 0.203 0.354 0.408
O 0.000 0.442 0.500
O 0.127 0.830 0.284
O 0.142 0.175 0.270
O 0.239 0.988 0.819

=====

Question: Which value of total moment does entry 4 give?
Answer: 0.3 μB per formula unit

=====

Question: Which formula does entry 6 have?
Answer: MnP2O7